1.
# ScAl3Ga4

Crystalline ScAl3Ga4 at its relaxed geometry (PBE, Alexandria via LeMat-Bulk).

abc: 3.435 6.744 7.644
angles: 116.18 102.99 90.00
Fractional positions:
1 Ga 0.353 0.547 0.707
2 Sc 0.500 0.000 0.000
3 Al 0.176 0.176 0.353
4 Al 0.824 0.824 0.647
5 Ga 0.353 0.160 0.707
6 Ga 0.647 0.453 0.293
7 Ga 0.647 0.840 0.293
8 Al 0.000 0.500 0.000

total DFT energy (no corrections) = -30.09 eV per cell
total magnetic moment = 0.00 μB/cell

=====

2.
# Nb2CrNi

Crystalline Nb2CrNi at its relaxed geometry (PBE, Alexandria via LeMat-Bulk).

abc: 2.794 2.794 9.440
angles: 81.49 81.49 60.00
Fractional positions:
1 Ni 0.500 0.500 0.500
2 Cr 0.000 0.000 0.000
3 Nb 0.088 0.088 0.735
4 Nb 0.912 0.912 0.265

total DFT energy (no corrections) = -33.38 eV per cell
total magnetic moment = 1.15 μB/cell

=====

3.
# CsNa2TlSn

Crystalline CsNa2TlSn at its relaxed geometry (PBE, Alexandria via LeMat-Bulk).

abc: 6.058 6.058 5.904
angles: 90.00 90.00 90.00
Fractional positions:
1 Na 0.500 0.000 0.000
2 Sn 0.000 0.000 0.500
3 Cs 0.500 0.500 0.500
4 Na 0.000 0.500 0.000
5 Tl 0.000 0.000 0.000

total DFT energy (no corrections) = -9.85 eV per cell
total magnetic moment = 0.00 μB/cell

=====

4.
# CeInAgSn

Crystalline CeInAgSn at its relaxed geometry (PBE, Alexandria via LeMat-Bulk).

abc: 5.207 5.207 5.207
angles: 60.00 60.00 60.00
Fractional positions:
1 In 0.000 0.000 0.000
2 Ag 0.750 0.750 0.750
3 Ce 0.500 0.500 0.500
4 Sn 0.250 0.250 0.250

total DFT energy (no corrections) = -16.45 eV per cell
total magnetic moment = 0.76 μB/cell